# 1
# TaCdTe2I

A geometry-optimized TaCdTe2I structure (PBEsol, Alexandria via LeMat-Bulk).

a b c (Å): 5.3463 5.3463 5.5717
angles (deg): 90.00 90.00 90.00
Last column: nearest neighbours and their distance in Å.
Positions (direct):
Ta  0.0000  0.0000  0.0000  4 Te 2.67, 2 I 2.79
Cd  0.5000  0.5000  0.5000  4 I 3.78, 8 Te 3.86
Te  0.0000  0.5000  0.0000  2 Ta 2.67
Te  0.5000  0.0000  0.0000  2 Ta 2.67
I  0.0000  0.0000  0.5000  2 Ta 2.79

Summary:
Total moment in μB/f.u.: 0.0
ΔE_f (raw) in eV/atom: 0.196
ρ in g/cm³: 7.0
Raw total energy in eV/atom: -4.3178

=====

# 2
# CdTc3I

A geometry-optimized CdTc3I structure (PBEsol, Alexandria via LeMat-Bulk).

a b c (Å): 4.7553 4.7553 4.7553
angles (deg): 90.00 90.00 90.00
Last column: nearest neighbours and their distance in Å.
Positions (direct):
Cd  0.0000  0.0000  0.0000  12 Tc 3.36
Tc  0.0000  0.5000  0.5000  2 I 2.38
Tc  0.5000  0.0000  0.5000  2 I 2.38
Tc  0.5000  0.5000  0.0000  2 I 2.38
I  0.5000  0.5000  0.5000  6 Tc 2.38

Summary:
Total moment in μB/f.u.: 2.5
ΔE_f (raw) in eV/atom: 1.933
ρ in g/cm³: 8.2
Raw total energy in eV/atom: -5.4195

=====

# 3
# TlCdTe2I

A geometry-optimized TlCdTe2I structure (PBEsol, Alexandria via LeMat-Bulk).

a b c (Å): 5.5099 5.5099 5.9444
angles (deg): 90.00 90.00 90.00
Last column: nearest neighbours and their distance in Å.
Positions (direct):
Tl  0.0000  0.0000  0.0000  4 I 3.90, 8 Te 4.05
Cd  0.5000  0.5000  0.5000  4 Te 2.75, 2 I 2.97
Te  0.0000  0.5000  0.5000  2 Cd 2.75
Te  0.5000  0.0000  0.5000  2 Cd 2.75
I  0.5000  0.5000  0.0000  2 Cd 2.97

Summary:
Total moment in μB/f.u.: 0.0
ΔE_f (raw) in eV/atom: 0.081
ρ in g/cm³: 6.4
Raw total energy in eV/atom: -2.4484

=====

# 4
# Tl2CdI

A geometry-optimized Tl2CdI structure (PBEsol, Alexandria via LeMat-Bulk).

a b c (Å): 7.8974 7.8974 7.8974
angles (deg): 90.00 90.00 90.00
Last column: nearest neighbours and their distance in Å.
Positions (direct):
Tl  0.2500  0.2500  0.2500  4 Cd 3.42, 4 I 3.42
Tl  0.2500  0.2500  0.7500  4 Cd 3.42, 4 I 3.42
Tl  0.2500  0.7500  0.2500  4 Cd 3.42, 4 I 3.42
Tl  0.2500  0.7500  0.7500  4 Cd 3.42, 4 I 3.42
Tl  0.7500  0.2500  0.2500  4 Cd 3.42, 4 I 3.42
Tl  0.7500  0.2500  0.7500  4 Cd 3.42, 4 I 3.42
Tl  0.7500  0.7500  0.2500  4 Cd 3.42, 4 I 3.42
Tl  0.7500  0.7500  0.7500  4 Cd 3.42, 4 I 3.42
Cd  0.0000  0.0000  0.0000  8 Tl 3.42
Cd  0.0000  0.5000  0.5000  8 Tl 3.42
Cd  0.5000  0.0000  0.5000  8 Tl 3.42
Cd  0.5000  0.5000  0.0000  8 Tl 3.42
I  0.0000  0.0000  0.5000  8 Tl 3.42
I  0.0000  0.5000  0.0000  8 Tl 3.42
I  0.5000  0.0000  0.0000  8 Tl 3.42
I  0.5000  0.5000  0.5000  8 Tl 3.42

Summary:
Total moment in μB/f.u.: 0.0
ΔE_f (raw) in eV/atom: -0.022
ρ in g/cm³: 8.7
Raw total energy in eV/atom: -2.0780

=====

# 5
# Tl4CdI6

A geometry-optimized Tl4CdI6 structure (PBEsol, Alexandria via LeMat-Bulk).

a b c (Å): 8.9545 8.9545 9.5706
angles (deg): 90.00 90.00 90.00
Last column: nearest neighbours and their distance in Å.
Positions (direct):
Tl  0.1471  0.3529  0.2500  6 I 3.40-3.53, 1 Tl 3.73
Tl  0.1471  0.3529  0.7500  6 I 3.40-3.53, 1 Tl 3.73
Tl  0.3529  0.8529  0.2500  6 I 3.40-3.53, 1 Tl 3.73
Tl  0.3529  0.8529  0.7500  6 I 3.40-3.53, 1 Tl 3.73
Tl  0.6471  0.1471  0.2500  6 I 3.40-3.53, 1 Tl 3.73
Tl  0.6471  0.1471  0.7500  6 I 3.40-3.53, 1 Tl 3.73
Tl  0.8529  0.6471  0.2500  6 I 3.40-3.53, 1 Tl 3.73
Tl  0.8529  0.6471  0.7500  6 I 3.40-3.53, 1 Tl 3.73
Cd  0.0000  0.0000  0.0000  6 I 2.84-3.08
Cd  0.5000  0.5000  0.5000  6 I 2.84-3.08
I  0.0000  0.0000  0.2963  1 Cd 2.84
I  0.0000  0.0000  0.7037  1 Cd 2.84
I  0.1404  0.6856  0.0000  1 Cd 3.08, 2 Tl 3.40
I  0.1856  0.6404  0.5000  1 Cd 3.08, 2 Tl 3.40
I  0.3144  0.1404  0.0000  1 Cd 3.08, 2 Tl 3.40
I  0.3596  0.1856  0.5000  1 Cd 3.08, 2 Tl 3.40
I  0.5000  0.5000  0.2037  1 Cd 2.84
I  0.5000  0.5000  0.7963  1 Cd 2.84
I  0.6404  0.8144  0.5000  1 Cd 3.08, 2 Tl 3.40
I  0.6856  0.8596  0.0000  1 Cd 3.08, 2 Tl 3.40
I  0.8144  0.3596  0.5000  1 Cd 3.08, 2 Tl 3.40
I  0.8596  0.3144  0.0000  1 Cd 3.08, 2 Tl 3.40

Summary:
Total moment in μB/f.u.: 0.0
ΔE_f (raw) in eV/atom: -0.585
ρ in g/cm³: 7.3
Raw total energy in eV/atom: -2.6138

=====

# 6
# Tl3Cd2I7

A geometry-optimized Tl3Cd2I7 structure (PBEsol, Alexandria via LeMat-Bulk).

a b c (Å): 13.2687 14.7031 4.4809
angles (deg): 90.00 90.00 90.00
Last column: nearest neighbours and their distance in Å.
Positions (direct):
Tl  0.0000  0.0000  0.0000  8 I 3.60-3.63
Tl  0.1134  0.3528  0.0000  7 I 3.43-3.57
Tl  0.3866  0.8528  0.0000  7 I 3.43-3.57
Tl  0.5000  0.5000  0.0000  8 I 3.60-3.63
Tl  0.6134  0.1472  0.0000  7 I 3.43-3.57
Tl  0.8866  0.6472  0.0000  7 I 3.43-3.57
Cd  0.2216  0.6041  0.5000  4 I 2.77-2.91
Cd  0.2784  0.1041  0.5000  4 I 2.77-2.91
Cd  0.7216  0.8959  0.5000  4 I 2.77-2.91
Cd  0.7784  0.3959  0.5000  4 I 2.77-2.91
I  0.0000  0.5000  0.5000  2 Cd 3.31, 4 Tl 3.46
I  0.0754  0.1792  0.5000  1 Cd 2.91
I  0.1489  0.7014  0.0000  2 Cd 2.83
I  0.2005  0.9295  0.5000  1 Cd 2.77
I  0.2995  0.4295  0.5000  1 Cd 2.77
I  0.3511  0.2014  0.0000  2 Cd 2.83
I  0.4246  0.6792  0.5000  1 Cd 2.91
I  0.5000  0.0000  0.5000  2 Cd 3.31, 4 Tl 3.46
I  0.5754  0.3208  0.5000  1 Cd 2.91
I  0.6489  0.7986  0.0000  2 Cd 2.83
I  0.7005  0.5705  0.5000  1 Cd 2.77
I  0.7995  0.0705  0.5000  1 Cd 2.77
I  0.8511  0.2986  0.0000  2 Cd 2.83
I  0.9246  0.8208  0.5000  1 Cd 2.91

Summary:
Total moment in μB/f.u.: 0.0
ΔE_f (raw) in eV/atom: -0.564
ρ in g/cm³: 6.6
Raw total energy in eV/atom: -2.4517

=====

# 7
# Tl3CdI

A geometry-optimized Tl3CdI structure (PBEsol, Alexandria via LeMat-Bulk).

a b c (Å): 6.2269 6.2269 6.2269
angles (deg): 90.00 90.00 90.00
Last column: nearest neighbours and their distance in Å.
Positions (direct):
Tl  0.0000  0.0000  0.5000  2 I 3.11
Tl  0.0000  0.5000  0.0000  2 I 3.11
Tl  0.5000  0.0000  0.0000  2 I 3.11
Cd  0.5000  0.5000  0.5000  12 Tl 4.40
I  0.0000  0.0000  0.0000  6 Tl 3.11

Summary:
Total moment in μB/f.u.: 0.0
ΔE_f (raw) in eV/atom: 0.411
ρ in g/cm³: 5.9
Raw total energy in eV/atom: -1.7595

=====

# 8
# Zn3CdI

A geometry-optimized Zn3CdI structure (PBEsol, Alexandria via LeMat-Bulk).

a b c (Å): 5.4750 5.4750 5.4750
angles (deg): 90.00 90.00 90.00
Last column: nearest neighbours and their distance in Å.
Positions (direct):
Zn  0.0000  0.0000  0.5000  2 I 2.74
Zn  0.0000  0.5000  0.0000  2 I 2.74
Zn  0.5000  0.0000  0.0000  2 I 2.74
Cd  0.5000  0.5000  0.5000  12 Zn 3.87
I  0.0000  0.0000  0.0000  6 Zn 2.74

Summary:
Total moment in μB/f.u.: 0.0
ΔE_f (raw) in eV/atom: 0.903
ρ in g/cm³: 4.4
Raw total energy in eV/atom: -0.6388

=====

# 9
# ZnCdI2

A geometry-optimized ZnCdI2 structure (PBEsol, Alexandria via LeMat-Bulk).

a b c (Å): 7.5412 7.5412 7.5412
angles (deg): 90.00 90.00 90.00
Last column: nearest neighbours and their distance in Å.
Positions (direct):
Zn  0.0000  0.0000  0.0000  8 I 3.27
Zn  0.0000  0.5000  0.5000  8 I 3.27
Zn  0.5000  0.0000  0.5000  8 I 3.27
Zn  0.5000  0.5000  0.0000  8 I 3.27
Cd  0.0000  0.0000  0.5000  8 I 3.27
Cd  0.0000  0.5000  0.0000  8 I 3.27
Cd  0.5000  0.0000  0.0000  8 I 3.27
Cd  0.5000  0.5000  0.5000  8 I 3.27
I  0.2500  0.2500  0.2500  4 Cd 3.27, 4 Zn 3.27
I  0.2500  0.2500  0.7500  4 Zn 3.27, 4 Cd 3.27
I  0.2500  0.7500  0.2500  4 Zn 3.27, 4 Cd 3.27
I  0.2500  0.7500  0.7500  4 Cd 3.27, 4 Zn 3.27
I  0.7500  0.2500  0.2500  4 Zn 3.27, 4 Cd 3.27
I  0.7500  0.2500  0.7500  4 Cd 3.27, 4 Zn 3.27
I  0.7500  0.7500  0.2500  4 Cd 3.27, 4 Zn 3.27
I  0.7500  0.7500  0.7500  4 Zn 3.27, 4 Cd 3.27

Summary:
Total moment in μB/f.u.: 0.0
ΔE_f (raw) in eV/atom: 0.039
ρ in g/cm³: 6.7
Raw total energy in eV/atom: -1.5392

=====

# 10
# Zr3CdI

A geometry-optimized Zr3CdI structure (PBEsol, Alexandria via LeMat-Bulk).

a b c (Å): 5.2187 5.2187 5.2187
angles (deg): 90.00 90.00 90.00
Last column: nearest neighbours and their distance in Å.
Positions (direct):
Zr  0.0000  0.0000  0.5000  2 Cd 2.61
Zr  0.0000  0.5000  0.0000  2 Cd 2.61
Zr  0.5000  0.0000  0.0000  2 Cd 2.61
Cd  0.0000  0.0000  0.0000  6 Zr 2.61
I  0.5000  0.5000  0.5000  12 Zr 3.69

Summary:
Total moment in μB/f.u.: 0.0
ΔE_f (raw) in eV/atom: 1.032
ρ in g/cm³: 6.0
Raw total energy in eV/atom: -5.0150

=====

# 11
# Cd4In

A geometry-optimized Cd4In structure (PBEsol, Alexandria via LeMat-Bulk).

a b c (Å): 8.4927 8.4927 8.4927
angles (deg): 109.47 109.47 109.47
Last column: nearest neighbours and their distance in Å.
Positions (direct):
Cd  0.0000  0.0000  0.3196  1 In 2.82, 3 Cd 2.87
Cd  0.0000  0.3196  0.0000  1 In 2.82, 3 Cd 2.87
Cd  0.0000  0.3454  0.3454  7 Cd 2.87-3.03, 2 In 2.94
Cd  0.0000  0.6546  0.6546  7 Cd 2.87-3.03, 2 In 2.94
Cd  0.2500  0.5000  0.7500  4 Cd 2.88
Cd  0.2500  0.7500  0.5000  4 Cd 2.88
Cd  0.3196  0.0000  0.0000  1 In 2.82, 3 Cd 2.87
Cd  0.3454  0.0000  0.3454  7 Cd 2.87-3.03, 2 In 2.94
Cd  0.3454  0.3454  0.0000  7 Cd 2.87-3.03, 2 In 2.94
Cd  0.5000  0.2500  0.7500  4 Cd 2.88
Cd  0.5000  0.7500  0.2500  4 Cd 2.88
Cd  0.6546  0.0000  0.6546  7 Cd 2.87-3.03, 2 In 2.94
Cd  0.6546  0.6546  0.0000  7 Cd 2.87-3.03, 2 In 2.94
Cd  0.6804  0.6804  0.6804  1 In 2.82, 3 Cd 2.87
Cd  0.7500  0.2500  0.5000  4 Cd 2.88
Cd  0.7500  0.5000  0.2500  4 Cd 2.88
In  0.0000  0.0000  0.6522  4 Cd 2.82-2.94
In  0.0000  0.6522  0.0000  4 Cd 2.82-2.94
In  0.3478  0.3478  0.3478  4 Cd 2.82-2.94
In  0.6522  0.0000  0.0000  4 Cd 2.82-2.94

Summary:
Total moment in μB/f.u.: 0.0
Energy of formation in eV/atom: 0.09
ρ in g/cm³: 8.0
Raw total energy in eV/atom: -1.4618

=====

# 12
# Cd17In12

A geometry-optimized Cd17In12 structure (PBEsol, Alexandria via LeMat-Bulk).

a b c (Å): 9.5536 9.5536 9.5536
angles (deg): 109.47 109.47 109.47
Last column: nearest neighbours and their distance in Å.
Positions (direct):
Cd  0.0000  0.0000  0.0000  4 Cd 3.15
Cd  0.0000  0.0000  0.6704  4 Cd 3.11-3.15, 6 In 3.30
Cd  0.0000  0.4186  0.6935  5 In 2.98-3.12, 3 Cd 3.11-3.28
Cd  0.0000  0.6704  0.0000  4 Cd 3.11-3.15, 6 In 3.30
Cd  0.0000  0.6935  0.4186  5 In 2.98-3.12, 3 Cd 3.11-3.28
Cd  0.2749  0.5814  0.5814  5 In 2.98-3.12, 3 Cd 3.11-3.28
Cd  0.3065  0.3065  0.7251  5 In 2.98-3.12, 3 Cd 3.11-3.28
Cd  0.3065  0.7251  0.3065  5 In 2.98-3.12, 3 Cd 3.11-3.28
Cd  0.3296  0.3296  0.3296  4 Cd 3.11-3.15, 6 In 3.30
Cd  0.4186  0.0000  0.6935  5 In 2.98-3.12, 3 Cd 3.11-3.28
Cd  0.4186  0.6935  0.0000  5 In 2.98-3.12, 3 Cd 3.11-3.28
Cd  0.5814  0.2749  0.5814  5 In 2.98-3.12, 3 Cd 3.11-3.28
Cd  0.5814  0.5814  0.2749  5 In 2.98-3.12, 3 Cd 3.11-3.28
Cd  0.6704  0.0000  0.0000  4 Cd 3.11-3.15, 6 In 3.30
Cd  0.6935  0.0000  0.4186  5 In 2.98-3.12, 3 Cd 3.11-3.28
Cd  0.6935  0.4186  0.0000  5 In 2.98-3.12, 3 Cd 3.11-3.28
Cd  0.7251  0.3065  0.3065  5 In 2.98-3.12, 3 Cd 3.11-3.28
In  0.0000  0.1944  0.3888  7 Cd 2.98-3.30, 3 In 3.03
In  0.0000  0.3888  0.1944  7 Cd 2.98-3.30, 3 In 3.03
In  0.1944  0.0000  0.3888  7 Cd 2.98-3.30, 3 In 3.03
In  0.1944  0.3888  0.0000  7 Cd 2.98-3.30, 3 In 3.03
In  0.1944  0.8056  0.8056  7 Cd 2.98-3.30, 3 In 3.03
In  0.3888  0.0000  0.1944  7 Cd 2.98-3.30, 3 In 3.03
In  0.3888  0.1944  0.0000  7 Cd 2.98-3.30, 3 In 3.03
In  0.6112  0.6112  0.8056  7 Cd 2.98-3.30, 3 In 3.03
In  0.6112  0.8056  0.6112  7 Cd 2.98-3.30, 3 In 3.03
In  0.8056  0.1944  0.8056  7 Cd 2.98-3.30, 3 In 3.03
In  0.8056  0.6112  0.6112  7 Cd 2.98-3.30, 3 In 3.03
In  0.8056  0.8056  0.1944  7 Cd 2.98-3.30, 3 In 3.03

Summary:
Total moment in μB/f.u.: 0.0
Energy of formation in eV/atom: 0.07
ρ in g/cm³: 8.1
Raw total energy in eV/atom: -1.8669